A relaxed structure of La3Ho3CuSe8. Source: Alexandria via LeMat-Bulk, functional GGA-PBE.

Unit cell a=8.3350 b=8.3350 c=8.3350 alpha=59.38 beta=59.38 gamma=59.38
Last column: nearest neighbours and their distance in Å.
Atoms (fractional coordinates):
La  0.0000  0.5000  0.5000  6 Se 3.01
La  0.5000  0.0000  0.5000  6 Se 3.01
La  0.5000  0.5000  0.0000  6 Se 3.01
Ho  0.0000  0.0000  0.5000  6 Se 2.86
Ho  0.0000  0.5000  0.0000  6 Se 2.86
Ho  0.5000  0.0000  0.0000  6 Se 2.86
Cu  0.5000  0.5000  0.5000  6 Se 2.84
Se  0.2436  0.2436  0.2436  3 Ho 2.86, 3 La 3.01
Se  0.2457  0.7420  0.7420  1 Cu 2.84, 2 Ho 2.86, 2 La 3.01
Se  0.2580  0.2580  0.7543  1 Cu 2.84, 2 Ho 2.86, 2 La 3.01
Se  0.2580  0.7543  0.2580  1 Cu 2.84, 2 Ho 2.86, 2 La 3.01
Se  0.7420  0.2457  0.7420  1 Cu 2.84, 2 Ho 2.86, 2 La 3.01
Se  0.7420  0.7420  0.2457  1 Cu 2.84, 2 Ho 2.86, 2 La 3.01
Se  0.7543  0.2580  0.2580  1 Cu 2.84, 2 Ho 2.86, 2 La 3.01
Se  0.7564  0.7564  0.7564  3 Ho 2.86, 3 La 3.01

Calculated values
The density of states at the Fermi level comes out at 4.7 states/eV per cell. Its uncorrected formation energy is -1681 meV/atom. Its total magnetization is 0.00 Bohr magnetons per cell. As for the space-group type: R-3m, No. 166.


A relaxed structure of LaHoCu2Si2. Source: Alexandria via LeMat-Bulk, functional GGA-PBE.

Unit cell a=4.2071 b=4.2071 c=7.7606 alpha=90.00 beta=90.00 gamma=120.00
Last column: nearest neighbours and their distance in Å.
Atoms (fractional coordinates):
La  0.0000  0.0000  0.0000  6 Si 3.19, 6 Cu 3.25
Ho  0.0000  0.0000  0.5000  6 Cu 2.98, 6 Si 3.03
Cu  0.3333  0.6667  0.7220  3 Si 2.43
Cu  0.6667  0.3333  0.2780  3 Si 2.43
Si  0.3333  0.6667  0.2669  3 Cu 2.43
Si  0.6667  0.3333  0.7331  3 Cu 2.43

Calculated values
The density of states at the Fermi level comes out at 1.9 states/eV per cell. Its uncorrected formation energy is -653 meV/atom. Its total magnetization is 0.00 Bohr magnetons per cell. As for the space-group type: P-3m1, No. 164.


A relaxed structure of LaHoCuTc. Source: Alexandria via LeMat-Bulk, functional GGA-PBE.

Unit cell a=7.0316 b=7.0316 c=7.0316 alpha=90.00 beta=90.00 gamma=90.00
Last column: nearest neighbours and their distance in Å.
Atoms (fractional coordinates):
La  0.0000  0.0000  0.0000  4 Tc 3.04, 4 Cu 3.04
La  0.0000  0.5000  0.5000  4 Tc 3.04, 4 Cu 3.04
La  0.5000  0.0000  0.5000  4 Tc 3.04, 4 Cu 3.04
La  0.5000  0.5000  0.0000  4 Tc 3.04, 4 Cu 3.04
Ho  0.0000  0.0000  0.5000  4 Cu 3.04, 4 Tc 3.04
Ho  0.0000  0.5000  0.0000  4 Cu 3.04, 4 Tc 3.04
Ho  0.5000  0.0000  0.0000  4 Cu 3.04, 4 Tc 3.04
Ho  0.5000  0.5000  0.5000  4 Cu 3.04, 4 Tc 3.04
Cu  0.2500  0.2500  0.2500  4 La 3.04, 4 Ho 3.04
Cu  0.2500  0.7500  0.7500  4 La 3.04, 4 Ho 3.04
Cu  0.7500  0.2500  0.7500  4 La 3.04, 4 Ho 3.04
Cu  0.7500  0.7500  0.2500  4 La 3.04, 4 Ho 3.04
Tc  0.2500  0.2500  0.7500  4 La 3.04, 4 Ho 3.04
Tc  0.2500  0.7500  0.2500  4 La 3.04, 4 Ho 3.04
Tc  0.7500  0.2500  0.2500  4 La 3.04, 4 Ho 3.04
Tc  0.7500  0.7500  0.7500  4 La 3.04, 4 Ho 3.04

Calculated values
The density of states at the Fermi level comes out at 17.2 states/eV per cell. Its total magnetization is 0.00 Bohr magnetons per cell. The energy comes out at -6.01 eV per atom. As for the space-group type: F-43m, No. 216.


A relaxed structure of LaYHoCu. Source: Alexandria via LeMat-Bulk, functional GGA-PBE.

Unit cell a=3.5348 b=3.5348 c=8.8495 alpha=90.00 beta=90.00 gamma=90.00
Last column: nearest neighbours and their distance in Å.
Atoms (fractional coordinates):
La  0.0000  0.0000  0.0000  4 La 3.53, 4 Ho 3.71, 4 Y 3.74
Y  0.5000  0.5000  0.6851  4 Cu 3.03, 1 Ho 3.32
Ho  0.5000  0.5000  0.3098  4 Cu 2.98, 1 Y 3.32
Cu  0.0000  0.0000  0.4923  4 Ho 2.98, 4 Y 3.03

Calculated values
The density of states at the Fermi level comes out at 4.1 states/eV per cell. Its total magnetization is 0.00 Bohr magnetons per cell. The energy comes out at -5.11 eV per atom. As for the space-group type: P4mm, No. 99.


A relaxed structure of LiHo3Cu8. Source: Alexandria via LeMat-Bulk, functional GGA-PBE.

Unit cell a=8.9148 b=8.9148 c=8.9148 alpha=33.61 beta=33.61 gamma=33.61
Last column: nearest neighbours and their distance in Å.
Atoms (fractional coordinates):
Li  0.0000  0.0000  0.0000  12 Cu 2.90-3.07, 4 Ho 3.05-3.07
Ho  0.1208  0.1208  0.1208  12 Cu 2.92-3.23, 1 Li 3.05
Ho  0.5085  0.5085  0.5085  12 Cu 2.98-3.10, 4 Ho 3.24-3.28
Ho  0.6369  0.6369  0.6369  12 Cu 2.86-3.11, 3 Li 3.07
Cu  0.0678  0.0678  0.5676  6 Cu 2.58-2.61
Cu  0.0678  0.5676  0.0678  6 Cu 2.58-2.61
Cu  0.0737  0.5628  0.5628  6 Cu 2.52-2.63
Cu  0.3179  0.3179  0.3179  6 Cu 2.53-2.58
Cu  0.5628  0.0737  0.5628  6 Cu 2.52-2.63
Cu  0.5628  0.5628  0.0737  6 Cu 2.52-2.63
Cu  0.5676  0.0678  0.0678  6 Cu 2.58-2.61
Cu  0.8161  0.8161  0.8161  6 Cu 2.59-2.61

Calculated values
The density of states at the Fermi level comes out at 10.0 states/eV per cell. Its total magnetization is 0.00 Bohr magnetons per cell. The energy comes out at -4.22 eV per atom. As for the space-group type: R3m, No. 160.


A relaxed structure of Li3HoCu3. Source: Alexandria via LeMat-Bulk, functional GGA-PBE.

Unit cell a=6.3415 b=6.3415 c=6.3415 alpha=90.00 beta=90.00 gamma=90.00
Last column: nearest neighbours and their distance in Å.
Atoms (fractional coordinates):
Li  0.0000  0.2500  0.5000  4 Cu 2.24
Li  0.0000  0.7500  0.5000  4 Cu 2.24
Li  0.2500  0.5000  0.0000  4 Cu 2.24
Li  0.5000  0.0000  0.2500  4 Cu 2.24
Li  0.5000  0.0000  0.7500  4 Cu 2.24
Li  0.7500  0.5000  0.0000  4 Cu 2.24
Ho  0.0000  0.0000  0.0000  12 Li 3.54, 12 Cu 3.54
Ho  0.5000  0.5000  0.5000  12 Li 3.54, 12 Cu 3.54
Cu  0.0000  0.5000  0.2500  4 Li 2.24
Cu  0.0000  0.5000  0.7500  4 Li 2.24
Cu  0.2500  0.0000  0.5000  4 Li 2.24
Cu  0.5000  0.2500  0.0000  4 Li 2.24
Cu  0.5000  0.7500  0.0000  4 Li 2.24
Cu  0.7500  0.0000  0.5000  4 Li 2.24

Calculated values
The density of states at the Fermi level comes out at 6.6 states/eV per cell. Its total magnetization is 0.00 Bohr magnetons per cell. The energy comes out at -2.83 eV per atom. As for the space-group type: Pm-3n, No. 223.


A relaxed structure of LiHo6Cu5. Source: Alexandria via LeMat-Bulk, functional GGA-PBE.

Unit cell a=7.8061 b=7.8061 c=6.9100 alpha=90.00 beta=90.00 gamma=143.26
Last column: nearest neighbours and their distance in Å.
Atoms (fractional coordinates):
Li  0.0000  0.0000  0.0000  8 Ho 3.04-3.07, 4 Cu 3.39
Ho  0.1701  0.8299  0.2526  7 Cu 2.95-3.10, 1 Li 3.07
Ho  0.1701  0.8299  0.7474  7 Cu 2.95-3.10, 1 Li 3.07
Ho  0.5000  0.5000  0.2589  6 Cu 2.94-2.99, 2 Li 3.04
Ho  0.5000  0.5000  0.7411  6 Cu 2.94-2.99, 2 Li 3.04
Ho  0.8299  0.1701  0.2526  7 Cu 2.95-3.10, 1 Li 3.07
Ho  0.8299  0.1701  0.7474  7 Cu 2.95-3.10, 1 Li 3.07
Cu  0.0000  0.0000  0.5000  8 Ho 2.97-3.04
Cu  0.3322  0.6678  0.5000  8 Ho 2.95-3.00
Cu  0.3426  0.6574  0.0000  8 Ho 2.94-3.10
Cu  0.6574  0.3426  0.0000  8 Ho 2.94-3.10
Cu  0.6678  0.3322  0.5000  8 Ho 2.95-3.00

Calculated values
The density of states at the Fermi level comes out at 6.1 states/eV per cell. Its total magnetization is 0.00 Bohr magnetons per cell. The energy comes out at -4.36 eV per atom. As for the space-group type: Cmmm, No. 65.


A relaxed structure of LiHoCu. Source: Alexandria via LeMat-Bulk, functional GGA-PBE.

Unit cell a=3.5129 b=3.5129 c=9.3329 alpha=90.00 beta=90.00 gamma=90.00
Last column: nearest neighbours and their distance in Å.
Atoms (fractional coordinates):
Li  0.0000  0.0000  0.0000  4 Cu 2.79, 5 Ho 2.80-3.11
Li  0.5000  0.5000  0.5000  4 Cu 2.79, 5 Ho 2.80-3.11
Ho  0.0000  0.0000  0.2997  5 Li 2.80-3.11, 5 Cu 2.92-3.13
Ho  0.5000  0.5000  0.7997  5 Li 2.80-3.11, 5 Cu 2.92-3.13
Cu  0.0000  0.0000  0.6351  4 Li 2.79, 4 Ho 2.92
Cu  0.5000  0.5000  0.1351  4 Li 2.79, 4 Ho 2.92

Calculated values
The density of states at the Fermi level comes out at 1.8 states/eV per cell. Its total magnetization is 0.00 Bohr magnetons per cell. As for the offset from the most stable computed form: 0 meV/atom. As for the space-group type: I4mm, No. 107.


A relaxed structure of LiHo2Cu. Source: Alexandria via LeMat-Bulk, functional GGA-PBE.

Unit cell a=3.5389 b=3.5389 c=7.2039 alpha=90.00 beta=90.00 gamma=90.00
Last column: nearest neighbours and their distance in Å.
Atoms (fractional coordinates):
Li  0.0000  0.0000  0.0000  8 Ho 3.18, 4 Li 3.54
Ho  0.5000  0.5000  0.2733  4 Cu 2.99, 4 Li 3.18, 1 Ho 3.27
Ho  0.5000  0.5000  0.7267  4 Cu 2.99, 4 Li 3.18, 1 Ho 3.27
Cu  0.0000  0.0000  0.5000  8 Ho 2.99

Calculated values
The density of states at the Fermi level comes out at 2.3 states/eV per cell. Its total magnetization is 0.00 Bohr magnetons per cell. The energy comes out at -3.86 eV per atom. As for the space-group type: P4/mmm, No. 123.


A relaxed structure of LiHoCu5. Source: Alexandria via LeMat-Bulk, functional GGA-PBE.

Unit cell a=8.0397 b=5.0620 c=10.1912 alpha=90.00 beta=90.00 gamma=90.00
Last column: nearest neighbours and their distance in Å.
Atoms (fractional coordinates):
Li  0.1387  0.2500  0.1405  8 Cu 2.50-2.78
Li  0.3613  0.7500  0.6405  8 Cu 2.50-2.78
Li  0.6387  0.2500  0.3595  8 Cu 2.50-2.78
Li  0.8613  0.7500  0.8595  8 Cu 2.50-2.78
Ho  0.2464  0.7500  0.9370  10 Cu 2.87-3.15, 2 Li 3.16-3.19
Ho  0.2536  0.2500  0.4370  10 Cu 2.87-3.15, 2 Li 3.16-3.19
Ho  0.7464  0.7500  0.5630  10 Cu 2.87-3.15, 2 Li 3.16-3.19
Ho  0.7536  0.2500  0.0630  10 Cu 2.87-3.15, 2 Li 3.16-3.19
Cu  0.0606  0.2500  0.9030  4 Cu 2.50-2.59, 1 Li 2.50
Cu  0.0687  0.5059  0.6895  7 Cu 2.45-2.59, 2 Li 2.70
Cu  0.0687  0.9941  0.6895  7 Cu 2.45-2.59, 2 Li 2.70
Cu  0.0946  0.7500  0.4828  5 Cu 2.45-2.55, 1 Li 2.68
Cu  0.1827  0.7500  0.2491  7 Cu 2.46-2.59
Cu  0.3173  0.2500  0.7491  7 Cu 2.46-2.59
Cu  0.4054  0.2500  0.9828  5 Cu 2.45-2.55, 1 Li 2.68
Cu  0.4313  0.0059  0.1895  7 Cu 2.45-2.59, 2 Li 2.70
Cu  0.4313  0.4941  0.1895  7 Cu 2.45-2.59, 2 Li 2.70
Cu  0.4394  0.7500  0.4030  4 Cu 2.50-2.59, 1 Li 2.50
Cu  0.5606  0.2500  0.5970  4 Cu 2.50-2.59, 1 Li 2.50
Cu  0.5687  0.5059  0.8105  7 Cu 2.45-2.59, 2 Li 2.70
Cu  0.5687  0.9941  0.8105  7 Cu 2.45-2.59, 2 Li 2.70
Cu  0.5946  0.7500  0.0172  5 Cu 2.45-2.55, 1 Li 2.68
Cu  0.6827  0.7500  0.2509  7 Cu 2.46-2.59
Cu  0.8173  0.2500  0.7509  7 Cu 2.46-2.59
Cu  0.9054  0.2500  0.5172  5 Cu 2.45-2.55, 1 Li 2.68
Cu  0.9313  0.0059  0.3105  7 Cu 2.45-2.59, 2 Li 2.70
Cu  0.9313  0.4941  0.3105  7 Cu 2.45-2.59, 2 Li 2.70
Cu  0.9394  0.7500  0.0970  4 Cu 2.50-2.59, 1 Li 2.50

Calculated values
The density of states at the Fermi level comes out at 12.7 states/eV per cell. Its total magnetization is 0.00 Bohr magnetons per cell. The energy comes out at -4.01 eV per atom. As for the space-group type: Pnma, No. 62.


A relaxed structure of LiHoCu. Source: Alexandria via LeMat-Bulk, functional GGA-PBE.

Unit cell a=4.4311 b=4.4311 c=3.4357 alpha=90.00 beta=90.00 gamma=120.00
Last column: nearest neighbours and their distance in Å.
Atoms (fractional coordinates):
Li  0.0000  0.0000  0.0000  3 Cu 2.56
Ho  0.6667  0.3333  0.5000  6 Li 3.08, 6 Cu 3.08, 2 Ho 3.44
Cu  0.3333  0.6667  0.0000  3 Li 2.56

Calculated values
The density of states at the Fermi level comes out at 2.3 states/eV per cell. Its total magnetization is 0.00 Bohr magnetons per cell. As for the offset from the most stable computed form: 38 meV/atom. As for the space-group type: P-6m2, No. 187.


A relaxed structure of LiHo2Cu. Source: Alexandria via LeMat-Bulk, functional GGA-PBE.

Unit cell a=3.3958 b=3.3958 c=31.8453 alpha=90.00 beta=90.00 gamma=120.00
Last column: nearest neighbours and their distance in Å.
Atoms (fractional coordinates):
Li  0.0000  0.0000  0.0000  2 Ho 3.23, 6 Li 3.40
Li  0.3333  0.6667  0.6667  2 Ho 3.23, 6 Li 3.40
Li  0.6667  0.3333  0.3333  2 Ho 3.23, 6 Li 3.40
Ho  0.0000  0.0000  0.1013  3 Cu 2.86
Ho  0.0000  0.0000  0.8987  3 Cu 2.86
Ho  0.3333  0.6667  0.5653  3 Cu 2.86
Ho  0.3333  0.6667  0.7680  3 Cu 2.86
Ho  0.6667  0.3333  0.2320  3 Cu 2.86
Ho  0.6667  0.3333  0.4347  3 Cu 2.86
Cu  0.0000  0.0000  0.5000  6 Ho 2.86
Cu  0.3333  0.6667  0.1667  6 Ho 2.86
Cu  0.6667  0.3333  0.8333  6 Ho 2.86

Calculated values
The density of states at the Fermi level comes out at 11.6 states/eV per cell. Its total magnetization is 0.00 Bohr magnetons per cell. The energy comes out at -3.58 eV per atom. As for the space-group type: R-3m, No. 166.


Q: total magnetization of number 10 (LiHoCu5)?
A: 0.00 Bohr magnetons per cell